[1]
Density functional theory data (PBE) for a geometry-optimized Ho2SiPt6 structure.

The structure belongs to space group C2/m (No. 12); the cell edges are 9.676, 5.618 and 6.110 Å and the angles 90.00°, 104.37° and 90.00°. Symmetry generates all atoms from Ho at (0.145, 0.000, 0.358), Si at (0.000, 0.500, 0.500), Pt at (0.123, 0.500, 0.205) and Pt at (0.132, 0.244, 0.804).

The calculation puts the formation energy without anion corrections at -1.092 eV/atom. Its crystal system is monoclinic.

=====

[2]
Density functional theory data (PBE) for a geometry-optimized Dy3HfO structure.

The structure belongs to space group Pm-3m (No. 221); the cell edges are 4.811, 4.811 and 4.811 Å and the angles 90.00°, 90.00° and 90.00°. Symmetry generates all atoms from Dy at (0.000, 0.000, 0.500), Hf at (0.500, 0.500, 0.500) and O at (0.000, 0.000, 0.000).

The calculation puts the formation energy without anion corrections at -1.064 eV/atom. Its crystal system is cubic.

=====

[3]
Density functional theory data (PBE) for a geometry-optimized La6AsSe5 structure.

The structure belongs to space group C2/m (No. 12); the cell edges are 7.486, 12.976 and 7.495 Å and the angles 90.00°, 109.40° and 90.00°. Symmetry generates all atoms from La at (0.247, 0.000, 0.253), La at (0.247, 0.164, 0.747), As at (0.000, 0.000, 0.500), Se at (0.000, 0.167, 0.000), Se at (0.000, 0.333, 0.500) and Se at (0.000, 0.500, 0.000).

The calculation puts the formation energy without anion corrections at -1.953 eV/atom. Its crystal system is monoclinic.

=====

[4]
Density functional theory data (PBE) for a geometry-optimized Rb3CuGe2Br9 structure.

The structure belongs to space group P-3m1 (No. 164); the cell edges are 7.6548, 7.6548 and 9.3845 Å and the angles 90.00°, 90.00° and 120.00°. Symmetry generates all atoms from Rb at (0.0000, 0.0000, 0.0000), Rb at (0.3333, 0.6667, 0.6648), Cu at (0.0000, 0.0000, 0.5000), Ge at (0.3333, 0.6667, 0.1799), Br at (0.0000, 0.5000, 0.0000) and Br at (0.1630, 0.3260, 0.3387).

The calculation puts the formation energy without anion corrections at -0.993 eV/atom. Its crystal system is trigonal.

=====

[5]
Density functional theory data (PBE) for a geometry-optimized AlTcBr2 structure.

The structure belongs to space group R3m (No. 160, hexagonal axes); the cell edges are 3.3208, 3.3208 and 27.7056 Å and the angles 90.00°, 90.00° and 120.00°. Symmetry generates all atoms from Al at (0.0000, 0.0000, 0.0000), Tc at (0.0000, 0.0000, 0.2655), Br at (0.0000, 0.0000, 0.5385) and Br at (0.0000, 0.0000, 0.7324).

The calculation puts the formation energy without anion corrections at -0.152 eV/atom. Its crystal system is trigonal.

=====

Question: Look up the formation energy without anion corrections of the second one.
Answer: -1.064 eV/atom

=====

Question: Look up the formation energy without anion corrections of the fifth one.
Answer: -0.152 eV/atom

=====

Question: What is the formation energy without anion corrections in the second record?
Answer: -1.064 eV/atom